[1]
First-principles (PBE-GGA) data for ReNi2Pd after structural relaxation, as listed in the Alexandria database.

Unit cell a=4.177 b=4.177 c=4.177 alpha=60.00 beta=60.00 gamma=60.00
Fractional coordinates of all 4 atoms:
1 Re 0.500 0.500 0.500
2 Pd 0.000 0.000 0.000
3 Ni 0.250 0.250 0.250
4 Ni 0.750 0.750 0.750

Properties
Polymorph energy (0 for the lowest one) in eV/atom: 0.190
Formation enthalpy at 0 K in eV per formula unit: 0.7
Calculated total energy in eV/atom: -7.131
Space group: Fm-3m, No. 225

***

[2]
First-principles (PBE-GGA) data for Re2NiPd after structural relaxation, as listed in the Alexandria database.

Unit cell a=4.314 b=4.314 c=4.314 alpha=60.00 beta=60.00 gamma=60.00
Fractional coordinates of all 4 atoms:
1 Re 0.250 0.250 0.250
2 Re 0.750 0.750 0.750
3 Pd 0.500 0.500 0.500
4 Ni 0.000 0.000 0.000

Properties
Polymorph energy (0 for the lowest one) in eV/atom: 0.434
Formation enthalpy at 0 K in eV per formula unit: 2.3
Calculated total energy in eV/atom: -8.387
Space group: Fm-3m, No. 225

***

[3]
First-principles (PBE-GGA) data for ReNi2Pd after structural relaxation, as listed in the Alexandria database.

Unit cell a=2.650 b=2.650 c=7.422 alpha=90.00 beta=90.00 gamma=89.99
Fractional coordinates of all 4 atoms:
1 Re 0.000 0.000 0.000
2 Ni 0.500 0.500 0.242
3 Ni 0.500 0.500 0.758
4 Pd 0.000 0.000 0.500

Properties
Polymorph energy (0 for the lowest one) in eV/atom: 0.000
Formation enthalpy at 0 K in eV per formula unit: -0.1
Calculated total energy in eV/atom: -7.322
Space group: P4/mmm, No. 123

***

[4]
First-principles (PBE-GGA) data for ReNiPd2 after structural relaxation, as listed in the Alexandria database.

Unit cell a=4.328 b=4.328 c=4.328 alpha=60.00 beta=60.00 gamma=60.00
Fractional coordinates of all 4 atoms:
1 Re 0.500 0.500 0.500
2 Pd 0.250 0.250 0.250
3 Pd 0.750 0.750 0.750
4 Ni 0.000 0.000 0.000

Properties
Polymorph energy (0 for the lowest one) in eV/atom: 0.000
Formation enthalpy at 0 K in eV per formula unit: 1.5
Calculated total energy in eV/atom: -6.785
Space group: Fm-3m, No. 225

***

[5]
First-principles (PBE-GGA) data for ReNiPd2 after structural relaxation, as listed in the Alexandria database.

Unit cell a=6.873 b=6.873 c=5.519 alpha=51.49 beta=51.49 gamma=90.00
Fractional coordinates of all 8 atoms:
1 Re 0.000 0.000 0.000
2 Re 0.750 0.250 0.500
3 Pd 0.619 0.125 0.250
4 Pd 0.131 0.625 0.250
5 Pd 0.375 0.381 0.750
6 Pd 0.875 0.869 0.750
7 Ni 0.500 0.500 0.000
8 Ni 0.250 0.750 0.500

Properties
Polymorph energy (0 for the lowest one) in eV/atom: 0.375
Formation enthalpy at 0 K in eV per formula unit: 3.0
Calculated total energy in eV/atom: -6.410
Space group: I-42d, No. 122

***

[6]
First-principles (PBE-GGA) data for ReNi4Pd after structural relaxation, as listed in the Alexandria database.

Unit cell a=4.680 b=4.680 c=4.680 alpha=60.00 beta=60.00 gamma=60.00
Last column: magnetic moment on the atom in μB.
Fractional coordinates of all 6 atoms:
1 Re 0.250 0.250 0.250  0.12
2 Pd 0.000 0.000 0.000  0.00
3 Ni 0.625 0.625 0.126  0.18
4 Ni 0.625 0.126 0.625  0.18
5 Ni 0.625 0.625 0.625  0.18
6 Ni 0.126 0.625 0.625  0.18

Properties
Polymorph energy (0 for the lowest one) in eV/atom: 0.079
Formation enthalpy at 0 K in eV per formula unit: 0.6
Calculated total energy in eV/atom: -6.698
Space group: F-43m, No. 216

***

[7]
First-principles (PBE-GGA) data for ReNi4Pd after structural relaxation, as listed in the Alexandria database.

Unit cell a=4.459 b=5.812 c=7.776 alpha=62.71 beta=89.75 gamma=119.89
Fractional coordinates of all 12 atoms:
1 Re 0.000 0.000 0.000
2 Re 0.500 0.500 0.000
3 Ni 0.493 0.995 0.841
4 Ni 0.007 0.505 0.159
5 Ni 0.498 0.491 0.676
6 Ni 0.002 0.009 0.324
7 Ni 0.507 0.005 0.159
8 Ni 0.993 0.495 0.841
9 Ni 0.502 0.509 0.324
10 Ni 0.998 0.991 0.676
11 Pd 0.000 0.500 0.500
12 Pd 0.500 0.000 0.500

Properties
Polymorph energy (0 for the lowest one) in eV/atom: 0.000
Formation enthalpy at 0 K in eV per formula unit: 0.1
Calculated total energy in eV/atom: -6.777
Space group: C2/m, No. 12

***

[8]
First-principles (PBE-GGA) data for ReNi6Pd after structural relaxation, as listed in the Alexandria database.

Unit cell a=3.630 b=3.630 c=7.237 alpha=90.00 beta=90.00 gamma=90.00
Last column: magnetic moment on the atom in μB.
Fractional coordinates of all 8 atoms:
1 Re 0.000 0.000 0.500  0.01
2 Ni 0.500 0.500 0.000  0.11
3 Ni 0.500 0.500 0.500  0.00
4 Ni 0.500 0.000 0.260  0.01
5 Ni 0.500 0.000 0.740  0.01
6 Ni 0.000 0.500 0.260  0.01
7 Ni 0.000 0.500 0.740  0.01
8 Pd 0.000 0.000 0.000  0.03

Properties
Formation enthalpy at 0 K in eV per formula unit: 0.1
Calculated total energy in eV/atom: -6.525
Space group: P4/mmm, No. 123

***

[9]
First-principles (PBE-GGA) data for ReNi2Pd after structural relaxation, as listed in the Alexandria database.

Unit cell a=2.707 b=2.707 c=8.517 alpha=80.86 beta=80.86 gamma=60.00
Fractional coordinates of all 4 atoms:
1 Re 0.500 0.500 0.500
2 Ni 0.087 0.087 0.740
3 Ni 0.247 0.247 0.260
4 Pd 0.667 0.667 0.000

Properties
Polymorph energy (0 for the lowest one) in eV/atom: 0.048
Formation enthalpy at 0 K in eV per formula unit: 0.1
Calculated total energy in eV/atom: -7.274
Space group: R3m, No. 160

***

[10]
First-principles (PBE-GGA) data for ReNi2Pd after structural relaxation, as listed in the Alexandria database.

Unit cell a=6.610 b=6.610 c=5.355 alpha=51.89 beta=51.89 gamma=90.00
Fractional coordinates of all 8 atoms:
1 Re 0.000 0.000 0.000
2 Re 0.750 0.250 0.500
3 Pd 0.500 0.500 0.000
4 Pd 0.250 0.750 0.500
5 Ni 0.642 0.125 0.250
6 Ni 0.108 0.625 0.250
7 Ni 0.375 0.358 0.750
8 Ni 0.875 0.892 0.750

Properties
Polymorph energy (0 for the lowest one) in eV/atom: 0.646
Formation enthalpy at 0 K in eV per formula unit: 2.5
Calculated total energy in eV/atom: -6.676
Space group: I-42d, No. 122

***

[11]
First-principles (PBE-GGA) data for Re2NiPd after structural relaxation, as listed in the Alexandria database.

Unit cell a=2.708 b=2.708 c=9.039 alpha=81.39 beta=81.39 gamma=60.00
Fractional coordinates of all 4 atoms:
1 Re 0.746 0.746 0.763
2 Re 0.254 0.254 0.237
3 Pd 0.500 0.500 0.500
4 Ni 0.000 0.000 0.000

Properties
Polymorph energy (0 for the lowest one) in eV/atom: 0.000
Formation enthalpy at 0 K in eV per formula unit: 0.6
Calculated total energy in eV/atom: -8.821
Space group: R-3m, No. 166

***

[12]
First-principles (PBE-GGA) data for Re4Ni2Pd after structural relaxation, as listed in the Alexandria database.

Unit cell a=4.633 b=4.633 c=6.777 alpha=70.01 beta=70.01 gamma=90.00
Last column: magnetic moment on the atom in μB.
Fractional coordinates of all 7 atoms:
1 Re 0.789 0.789 0.423  0.80
2 Re 0.211 0.211 0.577  0.80
3 Re 0.000 0.500 0.000  -0.27
4 Re 0.500 0.000 0.000  -0.27
5 Pd 0.000 0.000 0.000  -0.01
6 Ni 0.601 0.601 0.799  0.01
7 Ni 0.399 0.399 0.201  0.01

Properties
Formation enthalpy at 0 K in eV per formula unit: 15.2
Calculated total energy in eV/atom: -7.337
Space group: I4/mmm, No. 139

***

[13]
First-principles (PBE-GGA) data for ReNiPd3 after structural relaxation, as listed in the Alexandria database.

Unit cell a=4.771 b=4.771 c=4.771 alpha=90.00 beta=90.00 gamma=90.00
Last column: magnetic moment on the atom in μB.
Fractional coordinates of all 5 atoms:
1 Re 0.000 0.000 0.000  0.01
2 Pd 0.000 0.500 0.000  -0.01
3 Pd 0.000 0.000 0.500  -0.04
4 Pd 0.500 0.000 0.000  -0.01
5 Ni 0.500 0.500 0.500  0.53

Properties
Formation enthalpy at 0 K in eV per formula unit: 7.7
Calculated total energy in eV/atom: -5.216
Space group: Pm-3m, No. 221

***

[14]
First-principles (PBE-GGA) data for ReNiPdRh after structural relaxation, as listed in the Alexandria database.

Unit cell a=2.720 b=2.720 c=7.509 alpha=90.00 beta=90.00 gamma=90.00
Fractional coordinates of all 4 atoms:
1 Re 0.000 0.000 0.560
2 Ni 0.500 0.500 0.332
3 Pd 0.000 0.000 0.085
4 Rh 0.500 0.500 0.808

Properties
Formation enthalpy at 0 K in eV per formula unit: -0.2
Calculated total energy in eV/atom: -7.746
Space group: P4mm, No. 99

***

[15]
First-principles (PBE-GGA) data for ReNi2SnPd after structural relaxation, as listed in the Alexandria database.

Unit cell a=4.562 b=4.719 c=4.562 alpha=90.00 beta=90.00 gamma=90.00
Last column: magnetic moment on the atom in μB.
Fractional coordinates of all 5 atoms:
1 Re 0.000 0.500 0.000  1.01
2 Sn 0.500 0.500 0.500  -0.04
3 Pd 0.000 0.000 0.000  0.16
4 Ni 0.000 0.000 0.500  0.61
5 Ni 0.500 0.000 0.000  0.46

Properties
Formation enthalpy at 0 K in eV per formula unit: 7.0
Calculated total energy in eV/atom: -5.246
Space group: P4/mmm, No. 123

***

[16]
First-principles (PBE-GGA) data for TaReNiPd2 after structural relaxation, as listed in the Alexandria database.

Unit cell a=4.817 b=4.718 c=4.817 alpha=90.00 beta=90.00 gamma=90.00
Fractional coordinates of all 5 atoms:
1 Re 0.000 0.000 0.000
2 Ni 0.500 0.500 0.500
3 Pd 0.000 0.000 0.500
4 Pd 0.500 0.000 0.000
5 Ta 0.000 0.500 0.000

Properties
Formation enthalpy at 0 K in eV per formula unit: 7.9
Calculated total energy in eV/atom: -6.509
Space group: P4/mmm, No. 123

***

[17]
First-principles (PBE-GGA) data for ReNiTePd2 after structural relaxation, as listed in the Alexandria database.

Unit cell a=4.663 b=4.412 c=4.663 alpha=90.00 beta=90.00 gamma=90.00
Last column: magnetic moment on the atom in μB.
Fractional coordinates of all 5 atoms:
1 Re 0.000 0.500 0.000  1.00
2 Te 0.500 0.500 0.500  -0.03
3 Pd 0.000 0.000 0.500  0.03
4 Pd 0.500 0.000 0.000  0.05
5 Ni 0.000 0.000 0.000  0.12

Properties
Formation energy from raw total energies in meV/atom: 1015
Calculated total energy in eV/atom: -5.337
Space group: P4/mmm, No. 123

***

[18]
First-principles (PBE-GGA) data for TlReNiPd2 after structural relaxation, as listed in the Alexandria database.

Unit cell a=4.981 b=4.690 c=4.981 alpha=90.00 beta=90.00 gamma=90.00
Last column: magnetic moment on the atom in μB.
Fractional coordinates of all 5 atoms:
1 Re 0.500 0.500 0.500  3.61
2 Tl 0.000 0.000 0.000  -0.03
3 Pd 0.000 0.000 0.500  0.06
4 Pd 0.500 0.000 0.000  0.10
5 Ni 0.000 0.500 0.000  0.30

Properties
Formation enthalpy at 0 K in eV per formula unit: 9.3
Calculated total energy in eV/atom: -4.345
Space group: P4/mmm, No. 123

***

[19]
First-principles (PBE-GGA) data for ZrReNiPd2 after structural relaxation, as listed in the Alexandria database.

Unit cell a=4.510 b=4.535 c=4.510 alpha=90.00 beta=90.00 gamma=90.00
Last column: magnetic moment on the atom in μB.
Fractional coordinates of all 5 atoms:
1 Re 0.500 0.500 0.500  1.74
2 Zr 0.000 0.500 0.000  -0.15
3 Pd 0.000 0.000 0.500  0.00
4 Pd 0.500 0.000 0.000  0.09
5 Ni 0.000 0.000 0.000  0.11

Properties
Formation enthalpy at 0 K in eV per formula unit: 4.7
Calculated total energy in eV/atom: -6.488
Space group: P4/mmm, No. 123

***

[20]
First-principles (PBE-GGA) data for NiPd4Rh after structural relaxation, as listed in the Alexandria database.

Unit cell a=4.842 b=7.030 c=6.684 alpha=58.27 beta=79.30 gamma=69.32
Last column: magnetic moment on the atom in μB.
Fractional coordinates of all 12 atoms:
1 Ni 0.750 0.999 0.502  0.92
2 Ni 0.250 0.001 0.498  0.92
3 Pd 0.444 0.919 0.876  0.36
4 Pd 0.056 0.705 0.876  0.36
5 Pd 0.361 0.402 0.284  0.38
6 Pd 0.639 0.598 0.716  0.38
7 Pd 0.861 0.186 0.716  0.38
8 Pd 0.944 0.295 0.124  0.36
9 Pd 0.139 0.814 0.284  0.38
10 Pd 0.556 0.081 0.124  0.36
11 Rh 0.250 0.402 0.697  1.19
12 Rh 0.750 0.598 0.303  1.19

Properties
Polymorph energy (0 for the lowest one) in eV/atom: 0.112
Formation enthalpy at 0 K in eV per formula unit: 1.0
Calculated total energy in eV/atom: -5.480
Space group: C2/c, No. 15